(1)
Density functional theory data (GGA-PBE) for an optimized crystal structure of Ba3LiDy2.

Unit cell a=7.2503 b=7.2503 c=6.3386 alpha=90.00 beta=90.00 gamma=120.00
Sites, in units of the cell vectors:
1 Ba 0.0000 0.5000 0.0000
2 Ba 0.5000 0.0000 0.0000
3 Ba 0.5000 0.5000 0.0000
4 Li 0.0000 0.0000 0.5000
5 Dy 0.3333 0.6667 0.5000
6 Dy 0.6667 0.3333 0.5000

## Properties
VASP energy, eV for the cell shown: -13.0



(2)
Density functional theory data (GGA-PBE) for an optimized crystal structure of Nd3Al11.

Unit cell a=8.5088 b=8.5088 c=8.5088 alpha=150.14 beta=107.76 gamma=80.08
Sites, in units of the cell vectors:
1 Nd 0.0000 0.0000 0.0000
2 Nd 0.3175 0.3175 0.0000
3 Nd 0.6825 0.6825 0.0000
4 Al 0.0348 0.6659 0.3689
5 Al 0.1379 0.8635 0.2745
6 Al 0.2856 0.5000 0.7856
7 Al 0.2970 0.6659 0.6311
8 Al 0.4110 0.1365 0.2745
9 Al 0.5000 0.0000 0.5000
10 Al 0.5890 0.8635 0.7255
11 Al 0.7030 0.3341 0.3689
12 Al 0.7144 0.5000 0.2144
13 Al 0.8621 0.1365 0.7255
14 Al 0.9652 0.3341 0.6311

## Properties
VASP energy, eV for the cell shown: -60.7



(3)
Density functional theory data (GGA-PBE) for an optimized crystal structure of LuScNi.

Unit cell a=4.4684 b=4.4684 c=4.4684 alpha=60.00 beta=60.00 gamma=60.00
Sites, in units of the cell vectors:
1 Lu 0.0000 0.0000 0.0000
2 Sc 0.2500 0.2500 0.2500
3 Ni 0.5000 0.5000 0.5000

## Properties
Formation energy, eV per atom: 0.543



(4)
Density functional theory data (GGA-PBE) for an optimized crystal structure of ErTm2Fe8Co.

Unit cell a=8.5259 b=8.5259 c=8.5259 alpha=34.22 beta=34.22 gamma=34.22
Sites, in units of the cell vectors:
1 Er 0.0000 0.0000 0.0000
2 Tm 0.1420 0.1420 0.1420
3 Tm 0.8580 0.8580 0.8580
4 Fe 0.0813 0.5823 0.5823
5 Fe 0.3328 0.3328 0.3328
6 Fe 0.4177 0.4177 0.9187
7 Fe 0.4177 0.9187 0.4177
8 Fe 0.5823 0.0813 0.5823
9 Fe 0.5823 0.5823 0.0813
10 Fe 0.6672 0.6672 0.6672
11 Fe 0.9187 0.4177 0.4177
12 Co 0.5000 0.5000 0.5000

## Properties
Formation energy, eV per atom: -0.136



(5)
Density functional theory data (GGA-PBE) for an optimized crystal structure of ErTlFe.

Unit cell a=4.6409 b=4.6409 c=4.6409 alpha=60.00 beta=60.00 gamma=60.00
Sites, in units of the cell vectors:
1 Er 0.0000 0.0000 0.0000
2 Tl 0.5000 0.5000 0.5000
3 Fe 0.2500 0.2500 0.2500

## Properties
VASP energy, eV for the cell shown: -14.4



(6)
Density functional theory data (GGA-PBE) for an optimized crystal structure of LuNbAl.

Unit cell a=4.6199 b=4.6199 c=4.6199 alpha=60.00 beta=60.00 gamma=60.00
Sites, in units of the cell vectors:
1 Lu 0.0000 0.0000 0.0000
2 Nb 0.5000 0.5000 0.5000
3 Al 0.2500 0.2500 0.2500

## Properties
VASP energy, eV for the cell shown: -17.3



(7)
Density functional theory data (GGA-PBE) for an optimized crystal structure of HfScTe.

Unit cell a=4.7053 b=4.7053 c=4.7053 alpha=60.00 beta=60.00 gamma=60.00
Sites, in units of the cell vectors:
1 Hf 0.0000 0.0000 0.0000
2 Sc 0.5000 0.5000 0.5000
3 Te 0.2500 0.2500 0.2500

## Properties
VASP energy, eV for the cell shown: -19.7



(8)
Density functional theory data (GGA-PBE) for an optimized crystal structure of Ba2TcSn.

Unit cell a=5.4477 b=5.4477 c=5.4477 alpha=60.00 beta=60.00 gamma=60.00
Sites, in units of the cell vectors:
1 Ba 0.0000 0.0000 0.0000
2 Ba 0.2500 0.2500 0.2500
3 Tc 0.5000 0.5000 0.5000
4 Sn 0.7500 0.7500 0.7500

## Properties
VASP energy, eV for the cell shown: -16.4